Entry from Alexandria: a relaxed structure of Hf2BN (PBE).

Properties
- E_tot (eV per cell) = -39.7
- excess energy over the best structure of this formula in the dataset (meV per atom) = 68.8
- energy relative to the elements, uncorrected (kJ/mol of atoms) = -115

abc: 3.2969 3.2969 5.7847
angles: 73.44 73.44 60.00
Element x y z (fractional)
B 0.5000 0.5000 0.5000
Hf 0.7481 0.7481 0.7556
Hf 0.2519 0.2519 0.2444
N 0.0000 0.0000 0.0000


Entry from Alexandria: a relaxed structure of Rb2SrSn10 (PBE).

Properties
- E_tot (eV per cell) = -90.6
- energy of formation from the pure elements (kJ per mole of atoms) = -12.3

abc: 7.0708 6.4474 22.9147
angles: 90.00 90.00 90.00
Element x y z (fractional)
Sr 0.0000 0.0000 0.0000
Sr 0.0000 0.5000 0.5000
Sn 0.0000 0.6304 0.6524
Sn 0.2732 0.2196 0.1252
Sn 0.7268 0.2196 0.1252
Sn 0.7268 0.7196 0.3748
Sn 0.0000 0.3696 0.3476
Sn 0.0000 0.8696 0.1524
Sn 0.2732 0.2804 0.6252
Sn 0.7268 0.2804 0.6252
Sn 0.0000 0.0060 0.4345
Sn 0.0000 0.9940 0.5655
Sn 0.0000 0.5834 0.7885
Sn 0.7268 0.7804 0.8748
Sn 0.2732 0.7804 0.8748
Sn 0.0000 0.0834 0.7115
Sn 0.0000 0.9166 0.2885
Sn 0.0000 0.4166 0.2115
Sn 0.0000 0.4940 0.9345
Sn 0.2732 0.7196 0.3748
Sn 0.0000 0.1304 0.8476
Sn 0.0000 0.5060 0.0655
Rb 0.5000 0.7876 0.6877
Rb 0.5000 0.2876 0.8123
Rb 0.5000 0.7124 0.1877
Rb 0.5000 0.2124 0.3123


Entry from Alexandria: a relaxed structure of SmLu2Pu (PBE).

Properties
- E_tot (eV per cell) = -27.4
- excess energy over the best structure of this formula in the dataset (meV per atom) = 82.4
- energy of formation from the pure elements (kJ per mole of atoms) = 16.7

abc: 5.5439 5.5439 5.5439
angles: 60.00 60.00 60.00
Site moments in Bohr magnetons follow the coordinates.
Element x y z (fractional)
Lu 0.2500 0.2500 0.2500  -0.10
Lu 0.7500 0.7500 0.7500  -0.10
Pu 0.0000 0.0000 0.0000  -5.46
Sm 0.5000 0.5000 0.5000  0.05


Entry from Alexandria: a relaxed structure of Tm4Th (PBE).

Properties
- E_tot (eV per cell) = -45.3
- excess energy over the best structure of this formula in the dataset (meV per atom) = 322.7
- energy of formation from the pure elements (kJ per mole of atoms) = 51.5

abc: 7.8830 7.8830 7.8830
angles: 101.20 101.20 127.71
Element x y z (fractional)
Tm 0.0780 0.3814 0.6966
Tm 0.6186 0.9220 0.3034
Tm 0.6720 0.8686 0.8034
Tm 0.6186 0.3152 0.6966
Tm 0.0652 0.8686 0.1966
Tm 0.1314 0.9348 0.8034
Tm 0.6848 0.3814 0.3034
Tm 0.1314 0.3280 0.1966
Th 0.5000 0.5000 0.0000
Th 0.2500 0.7500 0.5000


Entry from Alexandria: a relaxed structure of LaHfAgP2 (PBE).

Properties
- E_tot (eV per cell) = -21.6
- energy of formation from the pure elements (kJ per mole of atoms) = 134.0

abc: 5.3626 5.6216 5.3626
angles: 90.00 90.00 90.00
Element x y z (fractional)
P 0.0000 0.0000 0.5000
P 0.5000 0.0000 0.0000
Ag 0.5000 0.5000 0.5000
La 0.0000 0.0000 0.0000
Hf 0.0000 0.5000 0.0000


Entry from Alexandria: a relaxed structure of ReSn (PBE).

Properties
- E_tot (eV per cell) = -115.0
- excess energy over the best structure of this formula in the dataset (meV per atom) = 682.7
- energy of formation from the pure elements (kJ per mole of atoms) = 100.1

abc: 8.2339 8.2339 8.2338
angles: 90.00 90.00 90.00
Element x y z (fractional)
Sn 0.2018 0.7982 0.7982
Sn 0.2982 0.2982 0.7018
Sn 0.7018 0.2982 0.2982
Sn 0.7982 0.2018 0.7982
Sn 0.2982 0.7018 0.2982
Sn 0.7018 0.7018 0.7018
Sn 0.7982 0.7982 0.2018
Sn 0.2018 0.2018 0.2018
Re 0.1084 0.1084 0.8916
Re 0.6084 0.3916 0.6084
Re 0.8916 0.8916 0.8916
Re 0.8916 0.1084 0.1084
Re 0.3916 0.6084 0.6084
Re 0.1084 0.8916 0.1084
Re 0.6084 0.6084 0.3916
Re 0.3916 0.3916 0.3916


Entry from Alexandria: a relaxed structure of Sr8MgTl2 (PBE).

Properties
- E_tot (eV per cell) = -21.2
- excess energy over the best structure of this formula in the dataset (meV per atom) = 50.1
- energy of formation from the pure elements (kJ per mole of atoms) = -12.4

abc: 5.7611 9.8270 10.0061
angles: 119.41 106.73 90.00
Element x y z (fractional)
Sr 0.1377 0.1377 0.2753
Sr 0.0000 0.3210 0.0000
Sr 0.0000 0.6790 0.0000
Sr 0.6615 0.4503 0.3229
Sr 0.3385 0.5497 0.6771
Sr 0.3385 0.1274 0.6771
Sr 0.6615 0.8726 0.3229
Sr 0.8623 0.8623 0.7247
Tl 0.1954 0.6954 0.3908
Tl 0.8046 0.3046 0.6092
Mg 0.5000 0.0000 0.0000


Entry from Alexandria: a relaxed structure of Pr4NdSe6 (PBE).

Properties
- E_tot (eV per cell) = -127.3
- energy relative to the elements, uncorrected (kJ/mol of atoms) = -166

abc: 8.4453 8.4453 8.4453
angles: 88.94 88.94 91.06
Element x y z (fractional)
Pr 0.2500 0.6374 0.1374
Pr 0.7500 0.7500 0.2500
Pr 0.6374 0.8626 0.7500
Pr 0.8626 0.2500 0.3626
Pr 0.3626 0.1374 0.2500
Pr 0.1374 0.7500 0.6374
Pr 0.2500 0.2500 0.7500
Pr 0.7500 0.3626 0.8626
Se 0.6764 0.0611 0.0878
Se 0.5878 0.4389 0.1764
Se 0.9389 0.0878 0.6764
Se 0.4389 0.8236 0.4122
Se 0.1764 0.4122 0.4389
Se 0.0611 0.9122 0.3236
Se 0.0878 0.3236 0.0611
Se 0.5611 0.1764 0.5878
Se 0.4122 0.5611 0.8236
Se 0.3236 0.9389 0.9122
Se 0.9122 0.6764 0.9389
Se 0.8236 0.5878 0.5611
Nd 0.5000 0.5000 0.5000
Nd 0.0000 0.0000 0.0000


Entry from Alexandria: a relaxed structure of LaAl2Os (PBE).

Properties
- E_tot (eV per cell) = -23.3
- energy of formation from the pure elements (kJ per mole of atoms) = 8.6

abc: 2.9726 2.9726 9.4895
angles: 90.00 90.00 113.14
Element x y z (fractional)
Al 0.0000 0.0000 0.5489
Al 0.0000 0.0000 0.9511
Os 0.5000 0.5000 0.7500
La 0.5000 0.5000 0.2500


Entry from Alexandria: a relaxed structure of CrBPd3 (PBE).

Properties
- E_tot (eV per cell) = -30.0
- excess energy over the best structure of this formula in the dataset (meV per atom) = 0.0
- energy of formation from the pure elements (kJ per mole of atoms) = 36.2

abc: 4.1472 4.1472 4.1472
angles: 90.00 90.00 90.00
Site moments in Bohr magnetons follow the coordinates.
Element x y z (fractional)
Pd 0.0000 0.0000 0.5000  -0.07
Pd 0.5000 0.0000 0.0000  0.02
Pd 0.0000 0.5000 0.0000  -0.03
B 0.0000 0.0000 0.0000  -0.01
Cr 0.5000 0.5000 0.5000  0.48


Entry from Alexandria: a relaxed structure of Ti2TlPd (PBE).

Properties
- E_tot (eV per cell) = -24.0
- energy of formation from the pure elements (kJ per mole of atoms) = -15.8

abc: 2.9691 2.9691 8.0863
angles: 90.00 90.00 90.00
Element x y z (fractional)
Pd 0.5000 0.5000 0.0000
Ti 0.0000 0.0000 0.7763
Ti 0.0000 0.0000 0.2237
Tl 0.5000 0.5000 0.5000


Entry from Alexandria: a relaxed structure of H2RuO (PBE).

Properties
- E_tot (eV per cell) = -18.4
- excess energy over the best structure of this formula in the dataset (meV per atom) = 341.3

abc: 3.3606 3.3606 3.3606
angles: 60.00 60.00 60.00
Site moments in Bohr magnetons follow the coordinates.
Element x y z (fractional)
H 0.2500 0.2500 0.2500  -0.01
H 0.7500 0.7500 0.7500  -0.01
O 0.0000 0.0000 0.0000  0.00
Ru 0.5000 0.5000 0.5000  0.46